1.
First-principles (PBE) data for crystalline LaPm2Y4Sc at its relaxed geometry, as listed in Alexandria via LeMat-Bulk.

Structure (CIF):
```
data_LaPm2Y4Sc
_cell_length_a 5.0579
_cell_length_b 5.0579
_cell_length_c 10.1317
_cell_angle_alpha 90.00
_cell_angle_beta 90.00
_cell_angle_gamma 90.00
_space_group_name_H-M_alt 'P 4/m m m'
_space_group_IT_number 123
_space_group_name_Hall '-P 4 2'
loop_
_atom_site_label
_atom_site_type_symbol
_atom_site_fract_x
_atom_site_fract_y
_atom_site_fract_z
La1 La 0.0000 0.0000 0.0000
Pm1 Pm 0.0000 0.0000 0.5000
Pm2 Pm 0.5000 0.5000 0.5000
Y1 Y 0.0000 0.5000 0.2469
Sc1 Sc 0.5000 0.5000 0.0000
```

Values from the calculation:
Energy of formation from the pure elements: 0.041 eV/atom



2.
First-principles (PBE) data for crystalline La3Pm2Y6Sc at its relaxed geometry, as listed in Alexandria via LeMat-Bulk.

Structure (CIF):
```
data_La3Pm2Y6Sc
_cell_length_a 6.2388
_cell_length_b 10.8111
_cell_length_c 11.8951
_cell_angle_alpha 90.00
_cell_angle_beta 100.08
_cell_angle_gamma 90.00
_space_group_name_H-M_alt 'C 1 2/m 1'
_space_group_IT_number 12
_space_group_name_Hall '-C 2y'
loop_
_atom_site_label
_atom_site_type_symbol
_atom_site_fract_x
_atom_site_fract_y
_atom_site_fract_z
La1 La 0.0000 0.0000 0.0000
La2 La 0.0000 0.3330 0.0000
Pm1 Pm 0.0000 0.1661 0.5000
Y1 Y 0.2460 0.3349 0.7443
Y2 Y 0.2492 0.5000 0.2552
Sc1 Sc 0.0000 0.5000 0.5000
```

Values from the calculation:
Energy of formation from the pure elements: 0.027 eV/atom



3.
First-principles (PBE) data for crystalline La2PmY5Sc at its relaxed geometry, as listed in Alexandria via LeMat-Bulk.

Structure (CIF):
```
data_La2PmY5Sc
_cell_length_a 5.6449
_cell_length_b 19.9814
_cell_length_c 10.5448
_cell_angle_alpha 90.00
_cell_angle_beta 90.00
_cell_angle_gamma 90.00
_space_group_name_H-M_alt 'C m c 21'
_space_group_IT_number 36
_space_group_name_Hall 'C 2c -2'
loop_
_atom_site_label
_atom_site_type_symbol
_atom_site_fract_x
_atom_site_fract_y
_atom_site_fract_z
La1 La 0.0000 0.1137 0.0000
La2 La 0.0000 0.1160 0.4204
Pm1 Pm 0.0000 0.4112 0.1453
Y1 Y 0.0000 0.0154 0.7039
Y2 Y 0.0000 0.2747 0.0139
Y3 Y 0.0000 0.2952 0.3868
Y4 Y 0.0000 0.3714 0.7055
Y5 Y 0.0000 0.4830 0.4261
Sc1 Sc 0.0000 0.1954 0.7007
```

Values from the calculation:
Energy of formation from the pure elements: 0.151 eV/atom



4.
First-principles (PBE) data for crystalline LaPmScZn at its relaxed geometry, as listed in Alexandria via LeMat-Bulk.

Structure (CIF):
```
data_LaPmScZn
_cell_length_a 3.5563
_cell_length_b 3.5563
_cell_length_c 8.6035
_cell_angle_alpha 90.00
_cell_angle_beta 90.00
_cell_angle_gamma 90.00
_space_group_name_H-M_alt 'P 4 m m'
_space_group_IT_number 99
_space_group_name_Hall 'P 4 -2'
loop_
_atom_site_label
_atom_site_type_symbol
_atom_site_fract_x
_atom_site_fract_y
_atom_site_fract_z
La1 La 0.0000 0.0000 0.0000
Pm1 Pm 0.5000 0.5000 0.6795
Sc1 Sc 0.5000 0.5000 0.2827
Zn1 Zn 0.0000 0.0000 0.4473
```

Values from the calculation:
Polymorph energy (0 for the lowest one): 0 kJ/mol of formula units
Energy of formation from the pure elements: -0.134 eV/atom